A.
Here is crystalline YBe2Te at its relaxed geometry from Alexandria. Energies are from GGA-PBEsol.

Geometry as extended XYZ:
```
4
Lattice="-2.126 -1.106 -2.941 1.905 -3.454 -0.078 -3.495 -2.002 3.281" Properties=species:S:1:pos:R:3 pbc="T T T"
Y -1.858 -3.281 0.131
Be -2.419 -1.386 2.271
Be -1.076 -0.616 1.010
Te -1.063 -0.553 -1.470
```

Properties
The space group is Pmmm (47). The value obtained for the calculated density is 5.01 g/cm3.

=====

B.
Here is crystalline YBe2Te at its relaxed geometry from Alexandria. Energies are from GGA-PBEsol.

Geometry as extended XYZ:
```
4
Lattice="-1.805 -2.614 2.038 2.424 0.585 2.897 -3.323 4.511 -0.651" Properties=species:S:1:pos:R:3 pbc="T T T"
Y -0.392 2.154 2.415
Be -0.242 0.280 0.146
Be -2.003 -0.030 1.682
Te 0.243 -0.937 2.508
```

Properties
The space group is Imm2 (44). The value obtained for the calculated density is 5.44 g/cm3.

=====

Most stable: B. Least stable: A.

=====

A.
Here is crystalline BeZn2Te at its relaxed geometry from Alexandria. Energies are from GGA-PBEsol.

Geometry as extended XYZ:
```
4
Lattice="4.654 0.000 0.000 2.327 4.031 0.000 2.327 1.344 3.800" Properties=species:S:1:pos:R:3 pbc="T T T"
Be 0.000 0.000 0.000
Zn 2.327 1.344 0.950
Zn 6.981 4.031 2.850
Te 4.654 2.687 1.900
```

Properties
The space group is Fm-3m (225). The value obtained for the calculated density is 6.23 g/cm3.

=====

B.
Here is crystalline BeZn2Te at its relaxed geometry from Alexandria. Energies are from GGA-PBEsol.

Geometry as extended XYZ:
```
4
Lattice="3.570 0.000 0.000 0.000 3.624 -0.050 0.000 -1.762 5.519" Properties=species:S:1:pos:R:3 pbc="T T T"
Be 0.000 0.242 2.388
Zn 0.000 0.230 0.143
Zn 1.785 2.055 1.607
Te 1.785 0.267 4.065
```

Properties
The space group is Pm (6). The value obtained for the calculated density is 6.25 g/cm3.

=====

Most stable: B. Least stable: A.

=====

A.
Here is crystalline Ti3Be at its relaxed geometry from Alexandria. Energies are from GGA-PBEsol.

Geometry as extended XYZ:
```
8
Lattice="-0.945 -3.372 2.720 5.343 -0.671 1.025 -2.989 3.363 3.130" Properties=species:S:1:pos:R:3 pbc="T T T"
Be -0.921 -0.511 4.468
Be 2.329 -0.170 2.406
Ti 0.777 1.496 3.933
Ti -0.347 0.211 1.949
Ti -1.775 1.817 3.444
Ti 0.631 -2.178 2.942
Ti 1.755 -0.892 4.926
Ti 3.182 -2.498 3.431
```

Properties
The space group is P6_3/mmc (194). The value obtained for the calculated density is 4.39 g/cm3.

=====

B.
Here is crystalline Ti3Be at its relaxed geometry from Alexandria. Energies are from GGA-PBEsol.

Geometry as extended XYZ:
```
4
Lattice="3.803 0.000 0.000 0.000 3.803 0.000 -1.902 -1.902 3.988" Properties=species:S:1:pos:R:3 pbc="T T T"
Be 0.000 0.000 0.000
Ti 0.000 1.902 1.994
Ti 1.902 0.000 1.994
Ti 1.902 1.902 0.000
```

Properties
The space group is I4/mmm (139). The value obtained for the calculated density is 4.39 g/cm3.

=====

Most stable: B. Least stable: A.

=====

A.
Here is crystalline BeTl at its relaxed geometry from Alexandria. Energies are from GGA-PBEsol.

Geometry as extended XYZ:
```
2
Lattice="-0.233 2.500 -1.841 -0.189 -1.854 -2.494 -3.728 -0.090 0.349" Properties=species:S:1:pos:R:3 pbc="T T T"
Be 0.000 0.000 0.000
Tl -2.075 0.278 -1.993
```

Properties
The space group is P4/mmm (123). The value obtained for the calculated density is 9.76 g/cm3.

=====

B.
Here is crystalline BeTl at its relaxed geometry from Alexandria. Energies are from GGA-PBEsol.

Geometry as extended XYZ:
```
4
Lattice="2.983 0.000 0.000 0.000 2.983 0.000 0.000 0.000 8.583" Properties=species:S:1:pos:R:3 pbc="T T T"
Be 1.491 0.000 0.379
Be 0.000 1.491 8.204
Tl 1.491 0.000 5.920
Tl 0.000 1.491 2.663
```

Properties
The space group is P4/nmm (129). The value obtained for the calculated density is 9.28 g/cm3.

=====

C.
Here is crystalline BeTl at its relaxed geometry from Alexandria. Energies are from GGA-PBEsol.

Geometry as extended XYZ:
```
4
Lattice="3.030 0.000 0.000 0.000 4.094 -0.118 -1.515 -1.999 6.067" Properties=species:S:1:pos:R:3 pbc="T T T"
Be 0.000 1.018 2.156
Be 1.515 1.076 3.793
Tl 1.515 3.050 1.244
Tl 0.000 -0.955 4.706
```

Properties
The space group is C2/m (12). The value obtained for the calculated density is 9.51 g/cm3.

=====

Most stable: B. Least stable: A.

=====

A.
Here is crystalline Be2TlW at its relaxed geometry from Alexandria. Energies are from GGA-PBEsol.

Geometry as extended XYZ:
```
4
Lattice="2.951 0.000 0.000 0.000 2.951 0.000 0.000 0.000 6.402" Properties=species:S:1:pos:R:3 pbc="T T T"
Be 0.000 0.000 0.187
Be 1.475 1.475 1.171
Tl 0.000 0.000 3.030
W 1.475 1.475 5.216
```

Properties
The space group is P4mm (99). The value obtained for the calculated density is 12.10 g/cm3.

=====

B.
Here is crystalline Be2TlW at its relaxed geometry from Alexandria. Energies are from GGA-PBEsol.

Geometry as extended XYZ:
```
4
Lattice="3.048 0.000 0.000 0.000 3.301 0.000 0.000 0.000 5.728" Properties=species:S:1:pos:R:3 pbc="T T T"
Be 0.000 0.000 3.874
Be 0.000 0.000 1.854
Tl 1.524 1.651 0.000
W 1.524 1.651 2.864
```

Properties
The space group is Pmmm (47). The value obtained for the calculated density is 11.71 g/cm3.

=====

Most stable: B. Least stable: A.

=====

A.
Here is crystalline Y2BeTl at its relaxed geometry from Alexandria. Energies are from GGA-PBEsol.

Geometry as extended XYZ:
```
4
Lattice="-0.771 3.341 0.703 -2.363 -0.002 -2.583 -5.182 -2.192 4.742" Properties=species:S:1:pos:R:3 pbc="T T T"
Y -4.047 -1.712 3.703
Y -1.135 -0.480 1.038
Be -1.567 1.670 -0.940
Tl -4.158 0.574 1.431
```

Properties
The space group is P4/mmm (123). The value obtained for the calculated density is 7.21 g/cm3.

=====

B.
Here is crystalline Y2BeTl at its relaxed geometry from Alexandria. Energies are from GGA-PBEsol.

Geometry as extended XYZ:
```
4
Lattice="5.077 0.000 0.000 2.539 4.397 0.000 2.539 1.466 4.145" Properties=species:S:1:pos:R:3 pbc="T T T"
Y 2.539 1.466 1.036
Y 7.616 4.397 3.109
Be 0.000 0.000 0.000
Tl 5.077 2.931 2.073
```

Properties
The space group is Fm-3m (225). The value obtained for the calculated density is 7.02 g/cm3.

=====

C.
Here is crystalline Y2BeTl at its relaxed geometry from Alexandria. Energies are from GGA-PBEsol.

Geometry as extended XYZ:
```
4
Lattice="3.582 0.000 0.000 0.000 4.859 0.000 -1.791 -2.430 5.212" Properties=species:S:1:pos:R:3 pbc="T T T"
Y 1.791 2.430 5.163
Y 1.791 0.000 2.843
Be 1.791 2.430 0.280
Tl 0.000 2.430 2.138
```

Properties
The space group is Imm2 (44). The value obtained for the calculated density is 7.16 g/cm3.

=====

D.
Here is crystalline Y2BeTl at its relaxed geometry from Alexandria. Energies are from GGA-PBEsol.

Geometry as extended XYZ:
```
4
Lattice="-0.721 -2.915 2.034 1.675 -3.144 -0.679 6.716 0.209 5.913" Properties=species:S:1:pos:R:3 pbc="T T T"
Y 2.144 -1.383 2.010
Y 5.527 -4.466 5.257
Be 3.835 -2.925 3.634
Tl 0.000 0.000 0.000
```

Properties
The space group is R-3m (166). The value obtained for the calculated density is 6.55 g/cm3.

=====

Most stable: A. Least stable: D.